No. 1
# MgIr3Rh

A PBEsol-optimized structure of MgIr3Rh (meta-GGA SCAN, Alexandria).

Geometry as CIF:
```
data_MgIr3Rh
_chemical_formula_sum 'Mg1 Ir3 Rh1'
_symmetry_space_group_name_H-M 'P m -3 m'
_symmetry_Int_Tables_number 221
_symmetry_space_group_name_Hall '-P 4 2 3'
_cell_length_a 4.662
_cell_length_b 4.662
_cell_length_c 4.662
_cell_angle_alpha 90.00
_cell_angle_beta 90.00
_cell_angle_gamma 90.00
loop_
_atom_site_label
_atom_site_type_symbol
_atom_site_fract_x
_atom_site_fract_y
_atom_site_fract_z
_atom_site_occupancy
Mg1 Mg 0.000 0.000 0.000 1
Ir1 Ir 0.000 0.500 0.500 1
Rh1 Rh 0.500 0.500 0.500 1
```

The formation energy comes out at 1.69 eV/atom.

No. 2
# Mg2IrRh

A PBEsol-optimized structure of Mg2IrRh (meta-GGA SCAN, Alexandria).

Geometry as CIF:
```
data_Mg2IrRh
_chemical_formula_sum 'Mg4 Ir2 Rh2'
_symmetry_space_group_name_H-M 'C 1 m 1'
_symmetry_Int_Tables_number 8
_cell_length_a 9.911
_cell_length_b 2.846
_cell_length_c 4.653
_cell_angle_alpha 90.00
_cell_angle_beta 112.35
_cell_angle_gamma 90.00
loop_
_symmetry_equiv_pos_as_xyz
'x,y,z'
'x,-y,z'
'x+1/2,y+1/2,z'
'x+1/2,-y+1/2,z'
loop_
_atom_site_label
_atom_site_type_symbol
_atom_site_fract_x
_atom_site_fract_y
_atom_site_fract_z
_atom_site_occupancy
Mg1 Mg 0.000 0.000 0.000 1
Mg2 Mg 0.219 0.000 0.604 1
Ir1 Ir 0.468 0.000 0.488 1
Rh1 Rh 0.250 0.500 0.112 1
```

The formation energy comes out at -0.48 eV/atom.

No. 3
# Mg2IrRh

A PBEsol-optimized structure of Mg2IrRh (meta-GGA SCAN, Alexandria).

Geometry as CIF:
```
data_Mg2IrRh
_chemical_formula_sum 'Mg2 Ir1 Rh1'
_symmetry_space_group_name_H-M 'P 4/m m m'
_symmetry_Int_Tables_number 123
_symmetry_space_group_name_Hall '-P 4 2'
_cell_length_a 3.080
_cell_length_b 3.080
_cell_length_c 6.188
_cell_angle_alpha 90.00
_cell_angle_beta 90.00
_cell_angle_gamma 90.00
loop_
_atom_site_label
_atom_site_type_symbol
_atom_site_fract_x
_atom_site_fract_y
_atom_site_fract_z
_atom_site_occupancy
Mg1 Mg 0.000 0.000 0.248 1
Ir1 Ir 0.500 0.500 0.500 1
Rh1 Rh 0.500 0.500 0.000 1
```

The formation energy comes out at -0.45 eV/atom.

No. 4
# Mg2IrRh

A PBEsol-optimized structure of Mg2IrRh (meta-GGA SCAN, Alexandria).

Geometry as CIF:
```
data_Mg2IrRh
_chemical_formula_sum 'Mg8 Ir4 Rh4'
_symmetry_space_group_name_H-M 'F m -3 m'
_symmetry_Int_Tables_number 225
_symmetry_space_group_name_Hall '-F 4 2 3'
_cell_length_a 6.170
_cell_length_b 6.170
_cell_length_c 6.170
_cell_angle_alpha 90.00
_cell_angle_beta 90.00
_cell_angle_gamma 90.00
loop_
_atom_site_label
_atom_site_type_symbol
_atom_site_fract_x
_atom_site_fract_y
_atom_site_fract_z
_atom_site_occupancy
Mg1 Mg 0.250 0.250 0.250 1
Ir1 Ir 0.000 0.000 0.000 1
Rh1 Rh 0.000 0.000 0.500 1
```

The formation energy comes out at -0.45 eV/atom.

No. 5
# MgSn2IrRh

A PBEsol-optimized structure of MgSn2IrRh (meta-GGA SCAN, Alexandria).

Geometry as CIF:
```
data_MgSn2IrRh
_chemical_formula_sum 'Mg1 Sn2 Ir1 Rh1'
_symmetry_space_group_name_H-M 'P 4/m m m'
_symmetry_Int_Tables_number 123
_symmetry_space_group_name_Hall '-P 4 2'
_cell_length_a 5.009
_cell_length_b 5.009
_cell_length_c 4.895
_cell_angle_alpha 90.00
_cell_angle_beta 90.00
_cell_angle_gamma 90.00
loop_
_atom_site_label
_atom_site_type_symbol
_atom_site_fract_x
_atom_site_fract_y
_atom_site_fract_z
_atom_site_occupancy
Mg1 Mg 0.000 0.000 0.000 1
Sn1 Sn 0.000 0.500 0.500 1
Ir1 Ir 0.500 0.500 0.500 1
Rh1 Rh 0.500 0.500 0.000 1
```

The formation energy comes out at 0.55 eV/atom.

No. 6
# MgTa2IrRh

A PBEsol-optimized structure of MgTa2IrRh (meta-GGA SCAN, Alexandria).

Geometry as CIF:
```
data_MgTa2IrRh
_chemical_formula_sum 'Mg1 Ta2 Ir1 Rh1'
_symmetry_space_group_name_H-M 'P 4/m m m'
_symmetry_Int_Tables_number 123
_symmetry_space_group_name_Hall '-P 4 2'
_cell_length_a 4.746
_cell_length_b 4.746
_cell_length_c 4.875
_cell_angle_alpha 90.00
_cell_angle_beta 90.00
_cell_angle_gamma 90.00
loop_
_atom_site_label
_atom_site_type_symbol
_atom_site_fract_x
_atom_site_fract_y
_atom_site_fract_z
_atom_site_occupancy
Mg1 Mg 0.000 0.000 0.000 1
Ta1 Ta 0.000 0.500 0.500 1
Ir1 Ir 0.500 0.500 0.500 1
Rh1 Rh 0.500 0.500 0.000 1
```

The formation energy comes out at 0.96 eV/atom.

No. 7
# MgSb2Ir

A PBEsol-optimized structure of MgSb2Ir (meta-GGA SCAN, Alexandria).

Geometry as CIF:
```
data_MgSb2Ir
_chemical_formula_sum 'Mg2 Sb4 Ir2'
_symmetry_space_group_name_H-M 'C m m m'
_symmetry_Int_Tables_number 65
_symmetry_space_group_name_Hall '-C 2 2'
_cell_length_a 5.084
_cell_length_b 9.533
_cell_length_c 4.156
_cell_angle_alpha 90.00
_cell_angle_beta 90.00
_cell_angle_gamma 90.00
loop_
_atom_site_label
_atom_site_type_symbol
_atom_site_fract_x
_atom_site_fract_y
_atom_site_fract_z
_atom_site_occupancy
Mg1 Mg 0.000 0.000 0.000 1
Sb1 Sb 0.000 0.335 0.500 1
Ir1 Ir 0.000 0.500 0.000 1
```

The value obtained for the uncorrected formation energy is -0.237 eV/atom.

No. 8
# Mg2SbIr

A PBEsol-optimized structure of Mg2SbIr (meta-GGA SCAN, Alexandria).

Geometry as CIF:
```
data_Mg2SbIr
_chemical_formula_sum 'Mg4 Sb2 Ir2'
_symmetry_space_group_name_H-M 'I m m 2'
_symmetry_Int_Tables_number 44
_cell_length_a 3.024
_cell_length_b 4.444
_cell_length_c 12.231
_cell_angle_alpha 90.00
_cell_angle_beta 90.00
_cell_angle_gamma 90.00
loop_
_symmetry_equiv_pos_as_xyz
'x,y,z'
'-x,-y,z'
'-x,y,z'
'x,-y,z'
'x+1/2,y+1/2,z+1/2'
'-x+1/2,-y+1/2,z+1/2'
'-x+1/2,y+1/2,z+1/2'
'x+1/2,-y+1/2,z+1/2'
loop_
_atom_site_label
_atom_site_type_symbol
_atom_site_fract_x
_atom_site_fract_y
_atom_site_fract_z
_atom_site_occupancy
Mg1 Mg 0.000 0.000 0.000 1
Mg2 Mg 0.000 0.500 0.177 1
Sb1 Sb 0.000 0.500 0.810 1
Ir1 Ir 0.000 0.000 0.490 1
```

The value obtained for the uncorrected formation energy is -0.370 eV/atom.

No. 9
# MgSbIr3

A PBEsol-optimized structure of MgSbIr3 (meta-GGA SCAN, Alexandria).

Geometry as CIF:
```
data_MgSbIr3
_chemical_formula_sum 'Mg1 Sb1 Ir3'
_symmetry_space_group_name_H-M 'P m -3 m'
_symmetry_Int_Tables_number 221
_symmetry_space_group_name_Hall '-P 4 2 3'
_cell_length_a 4.499
_cell_length_b 4.499
_cell_length_c 4.499
_cell_angle_alpha 90.00
_cell_angle_beta 90.00
_cell_angle_gamma 90.00
loop_
_atom_site_label
_atom_site_type_symbol
_atom_site_fract_x
_atom_site_fract_y
_atom_site_fract_z
_atom_site_occupancy
Mg1 Mg 0.000 0.000 0.000 1
Sb1 Sb 0.500 0.500 0.500 1
Ir1 Ir 0.000 0.000 0.500 1
```

The value obtained for the uncorrected formation energy is 1.535 eV/atom.

No. 10
# MgSb2Ir

A PBEsol-optimized structure of MgSb2Ir (meta-GGA SCAN, Alexandria).

Geometry as CIF:
```
data_MgSb2Ir
_chemical_formula_sum 'Mg2 Sb4 Ir2'
_symmetry_space_group_name_H-M 'C m m m'
_symmetry_Int_Tables_number 65
_symmetry_space_group_name_Hall '-C 2 2'
_cell_length_a 6.077
_cell_length_b 7.611
_cell_length_c 3.406
_cell_angle_alpha 90.00
_cell_angle_beta 90.00
_cell_angle_gamma 90.00
loop_
_atom_site_label
_atom_site_type_symbol
_atom_site_fract_x
_atom_site_fract_y
_atom_site_fract_z
_atom_site_occupancy
Mg1 Mg 0.000 0.000 0.000 1
Sb1 Sb 0.250 0.250 0.500 1
Ir1 Ir 0.000 0.500 0.000 1
```

The value obtained for the uncorrected formation energy is 0.131 eV/atom.

No. 11
# MgScIr

A PBEsol-optimized structure of MgScIr (meta-GGA SCAN, Alexandria).

Geometry as CIF:
```
data_MgScIr
_chemical_formula_sum 'Mg1 Sc1 Ir1'
_symmetry_space_group_name_H-M 'P 3 m 1'
_symmetry_Int_Tables_number 156
_cell_length_a 4.4414
_cell_length_b 4.4414
_cell_length_c 2.9917
_cell_angle_alpha 90.00
_cell_angle_beta 90.00
_cell_angle_gamma 120.00
loop_
_symmetry_equiv_pos_as_xyz
'x,y,z'
'-y,x-y,z'
'-x+y,-x,z'
'-y,-x,z'
'-x+y,y,z'
'x,x-y,z'
loop_
_atom_site_label
_atom_site_type_symbol
_atom_site_fract_x
_atom_site_fract_y
_atom_site_fract_z
_atom_site_occupancy
Mg1 Mg 0.0000 0.0000 0.0000 1
Sc1 Sc 0.3333 0.6667 0.5863 1
Ir1 Ir 0.6667 0.3333 0.2846 1
```

The formation energy comes out at -0.62 eV/atom.

No. 12
# Mg2ScIr

A PBEsol-optimized structure of Mg2ScIr (meta-GGA SCAN, Alexandria).

Geometry as CIF:
```
data_Mg2ScIr
_chemical_formula_sum 'Mg2 Sc1 Ir1'
_symmetry_space_group_name_H-M 'P 4 m m'
_symmetry_Int_Tables_number 99
_cell_length_a 3.173
_cell_length_b 3.173
_cell_length_c 7.589
_cell_angle_alpha 90.00
_cell_angle_beta 90.00
_cell_angle_gamma 90.00
loop_
_symmetry_equiv_pos_as_xyz
'x,y,z'
'-y,x,z'
'-x,-y,z'
'y,-x,z'
'-x,y,z'
'y,x,z'
'x,-y,z'
'-y,-x,z'
loop_
_atom_site_label
_atom_site_type_symbol
_atom_site_fract_x
_atom_site_fract_y
_atom_site_fract_z
_atom_site_occupancy
Mg1 Mg 0.000 0.000 0.000 1
Mg2 Mg 0.500 0.500 0.284 1
Sc1 Sc 0.000 0.000 0.599 1
Ir1 Ir 0.500 0.500 0.793 1
```

The formation energy comes out at -0.55 eV/atom.

No. 13
# MgSc2Ir

A PBEsol-optimized structure of MgSc2Ir (meta-GGA SCAN, Alexandria).

Geometry as CIF:
```
data_MgSc2Ir
_chemical_formula_sum 'Mg1 Sc2 Ir1'
_symmetry_space_group_name_H-M 'P 4/m m m'
_symmetry_Int_Tables_number 123
_symmetry_space_group_name_Hall '-P 4 2'
_cell_length_a 4.565
_cell_length_b 4.565
_cell_length_c 3.490
_cell_angle_alpha 90.00
_cell_angle_beta 90.00
_cell_angle_gamma 90.00
loop_
_atom_site_label
_atom_site_type_symbol
_atom_site_fract_x
_atom_site_fract_y
_atom_site_fract_z
_atom_site_occupancy
Mg1 Mg 0.000 0.000 0.000 1
Sc1 Sc 0.000 0.500 0.500 1
Ir1 Ir 0.500 0.500 0.000 1
```

The formation energy comes out at -0.61 eV/atom.

No. 14
# MgScIr

A PBEsol-optimized structure of MgScIr (meta-GGA SCAN, Alexandria).

Geometry as CIF:
```
data_MgScIr
_chemical_formula_sum 'Mg4 Sc4 Ir4'
_symmetry_space_group_name_H-M 'F -4 3 m'
_symmetry_Int_Tables_number 216
_symmetry_space_group_name_Hall 'F -4 2 3'
_cell_length_a 6.229
_cell_length_b 6.229
_cell_length_c 6.229
_cell_angle_alpha 90.00
_cell_angle_beta 90.00
_cell_angle_gamma 90.00
loop_
_atom_site_label
_atom_site_type_symbol
_atom_site_fract_x
_atom_site_fract_y
_atom_site_fract_z
_atom_site_occupancy
Mg1 Mg 0.000 0.000 0.000 1
Sc1 Sc 0.000 0.000 0.500 1
Ir1 Ir 0.250 0.250 0.250 1
```

The formation energy comes out at -0.67 eV/atom.

No. 15
# MgSc2Ir

A PBEsol-optimized structure of MgSc2Ir (meta-GGA SCAN, Alexandria).

Geometry as CIF:
```
data_MgSc2Ir
_chemical_formula_sum 'Mg1 Sc2 Ir1'
_symmetry_space_group_name_H-M 'P m m m'
_symmetry_Int_Tables_number 47
_cell_length_a 3.177
_cell_length_b 3.308
_cell_length_c 7.419
_cell_angle_alpha 90.00
_cell_angle_beta 90.00
_cell_angle_gamma 90.00
loop_
_symmetry_equiv_pos_as_xyz
'x,y,z'
'-x,-y,-z'
'-x,-y,z'
'x,y,-z'
'x,-y,-z'
'-x,y,z'
'-x,y,-z'
'x,-y,z'
loop_
_atom_site_label
_atom_site_type_symbol
_atom_site_fract_x
_atom_site_fract_y
_atom_site_fract_z
_atom_site_occupancy
Mg1 Mg 0.000 0.000 0.000 1
Sc1 Sc 0.500 0.500 0.291 1
Ir1 Ir 0.000 0.000 0.500 1
```

The formation energy comes out at -0.68 eV/atom.

No. 16
# MgSc2Ir

A PBEsol-optimized structure of MgSc2Ir (meta-GGA SCAN, Alexandria).

Geometry as CIF:
```
data_MgSc2Ir
_chemical_formula_sum 'Mg1 Sc2 Ir1'
_symmetry_space_group_name_H-M 'P 4 m m'
_symmetry_Int_Tables_number 99
_cell_length_a 3.156
_cell_length_b 3.156
_cell_length_c 7.909
_cell_angle_alpha 90.00
_cell_angle_beta 90.00
_cell_angle_gamma 90.00
loop_
_symmetry_equiv_pos_as_xyz
'x,y,z'
'-y,x,z'
'-x,-y,z'
'y,-x,z'
'-x,y,z'
'y,x,z'
'x,-y,z'
'-y,-x,z'
loop_
_atom_site_label
_atom_site_type_symbol
_atom_site_fract_x
_atom_site_fract_y
_atom_site_fract_z
_atom_site_occupancy
Mg1 Mg 0.000 0.000 0.000 1
Sc1 Sc 0.000 0.000 0.611 1
Sc2 Sc 0.500 0.500 0.290 1
Ir1 Ir 0.500 0.500 0.797 1
```

The formation energy comes out at -0.48 eV/atom.

No. 17
# Mg2IrSe

A PBEsol-optimized structure of Mg2IrSe (meta-GGA SCAN, Alexandria).

Geometry as CIF:
```
data_Mg2IrSe
_chemical_formula_sum 'Mg4 Ir2 Se2'
_symmetry_space_group_name_H-M 'I m m 2'
_symmetry_Int_Tables_number 44
_cell_length_a 2.996
_cell_length_b 4.376
_cell_length_c 11.370
_cell_angle_alpha 90.00
_cell_angle_beta 90.00
_cell_angle_gamma 90.00
loop_
_symmetry_equiv_pos_as_xyz
'x,y,z'
'-x,-y,z'
'-x,y,z'
'x,-y,z'
'x+1/2,y+1/2,z+1/2'
'-x+1/2,-y+1/2,z+1/2'
'-x+1/2,y+1/2,z+1/2'
'x+1/2,-y+1/2,z+1/2'
loop_
_atom_site_label
_atom_site_type_symbol
_atom_site_fract_x
_atom_site_fract_y
_atom_site_fract_z
_atom_site_occupancy
Mg1 Mg 0.000 0.000 0.000 1
Mg2 Mg 0.000 0.500 0.183 1
Ir1 Ir 0.000 0.500 0.704 1
Se1 Se 0.000 0.000 0.383 1
```

The value obtained for the uncorrected formation energy is -0.460 eV/atom.

No. 18
# MgIrSe

A PBEsol-optimized structure of MgIrSe (meta-GGA SCAN, Alexandria).

Geometry as CIF:
```
data_MgIrSe
_chemical_formula_sum 'Mg2 Ir2 Se2'
_symmetry_space_group_name_H-M 'I 4 m m'
_symmetry_Int_Tables_number 107
_symmetry_space_group_name_Hall 'I 4 -2'
_cell_length_a 3.000
_cell_length_b 3.000
_cell_length_c 11.084
_cell_angle_alpha 90.00
_cell_angle_beta 90.00
_cell_angle_gamma 90.00
loop_
_atom_site_label
_atom_site_type_symbol
_atom_site_fract_x
_atom_site_fract_y
_atom_site_fract_z
_atom_site_occupancy
Mg1 Mg 0.000 0.000 0.000 1
Ir1 Ir 0.000 0.000 0.341 1
Se1 Se 0.000 0.000 0.697 1
```

The value obtained for the uncorrected formation energy is -0.056 eV/atom.

No. 19
# MgIr2Se

A PBEsol-optimized structure of MgIr2Se (meta-GGA SCAN, Alexandria).

Geometry as CIF:
```
data_MgIr2Se
_chemical_formula_sum 'Mg2 Ir4 Se2'
_symmetry_space_group_name_H-M 'I m m m'
_symmetry_Int_Tables_number 71
_symmetry_space_group_name_Hall '-I 2 2'
_cell_length_a 2.863
_cell_length_b 4.603
_cell_length_c 9.408
_cell_angle_alpha 90.00
_cell_angle_beta 90.00
_cell_angle_gamma 90.00
loop_
_atom_site_label
_atom_site_type_symbol
_atom_site_fract_x
_atom_site_fract_y
_atom_site_fract_z
_atom_site_occupancy
Mg1 Mg 0.000 0.000 0.000 1
Ir1 Ir 0.000 0.500 0.233 1
Se1 Se 0.000 0.000 0.500 1
```

The value obtained for the uncorrected formation energy is 0.062 eV/atom.

No. 20
# Mg2IrSe

A PBEsol-optimized structure of Mg2IrSe (meta-GGA SCAN, Alexandria).

Geometry as CIF:
```
data_Mg2IrSe
_chemical_formula_sum 'Mg4 Ir2 Se2'
_symmetry_space_group_name_H-M 'C 1 m 1'
_symmetry_Int_Tables_number 8
_cell_length_a 10.333
_cell_length_b 2.990
_cell_length_c 4.701
_cell_angle_alpha 90.00
_cell_angle_beta 105.52
_cell_angle_gamma 90.00
loop_
_symmetry_equiv_pos_as_xyz
'x,y,z'
'x,-y,z'
'x+1/2,y+1/2,z'
'x+1/2,-y+1/2,z'
loop_
_atom_site_label
_atom_site_type_symbol
_atom_site_fract_x
_atom_site_fract_y
_atom_site_fract_z
_atom_site_occupancy
Mg1 Mg 0.000 0.000 0.000 1
Mg2 Mg 0.197 0.000 0.634 1
Ir1 Ir 0.461 0.000 0.497 1
Se1 Se 0.276 0.500 0.195 1
```

The value obtained for the uncorrected formation energy is -0.419 eV/atom.

Number 1: magnetization 0.01 μB per formula unit. Number 2: magnetization 0.00 μB per formula unit. Number 3: magnetization 0.00 μB per formula unit. Number 4: magnetization 0.00 μB per formula unit. Number 5: magnetization 0.00 μB per formula unit. Number 6: magnetization 0.00 μB per formula unit. Number 7: magnetization 0.00 μB per formula unit. Number 8: magnetization 0.00 μB per formula unit. Number 9: magnetization 0.00 μB per formula unit. Number 10: magnetization 0.00 μB per formula unit. Number 11: magnetization 0.00 μB per formula unit. Number 12: magnetization 0.03 μB per formula unit. Number 13: magnetization 0.00 μB per formula unit. Number 14: magnetization 0.00 μB per formula unit. Number 15: magnetization 0.15 μB per formula unit. Number 16: magnetization 1.03 μB per formula unit. Number 17: magnetization 0.00 μB per formula unit. Number 18: magnetization 0.00 μB per formula unit. Number 19: magnetization 0.00 μB per formula unit. Number 20: magnetization 0.00 μB per formula unit.